{"formula": "YAl3Cd", "functional": "GGA-PBE", "state": "relaxed", "lattice": [[5.580, 0.000, 0.000], [0.000, 5.580, 0.000], [0.000, 0.000, 5.580]], "species": ["Y", "Al", "Al", "Al", "Cd"], "fractional_positions": [[0.000, 0.000, 0.000], [0.000, 0.000, 0.500], [0.000, 0.500, 0.000], [0.500, 0.000, 0.000], [0.500, 0.500, 0.500]], "final_energy_ev_per_cell": -13.27, "sg": "Pm-3m", "total_magnetization_mub_per_cell": 0.000, "de_polymorph_ev_per_atom": 0.572}

=====

{"formula": "Pr2NdDy3Bi6", "functional": "GGA-PBE", "state": "relaxed", "lattice": [[9.918, -2.278, 0.000], [9.918, 2.278, 0.000], [-2.067, 0.000, 8.867]], "species": ["Pr", "Pr", "Nd", "Dy", "Dy", "Dy", "Bi", "Bi", "Bi", "Bi", "Bi", "Bi"], "fractional_positions": [[0.166, 0.166, 0.333], [0.834, 0.834, 0.667], [0.500, 0.500, 0.000], [0.167, 0.167, 0.833], [0.500, 0.500, 0.500], [0.833, 0.833, 0.167], [0.003, 0.003, 0.745], [0.331, 0.331, 0.923], [0.336, 0.336, 0.411], [0.664, 0.664, 0.589], [0.669, 0.669, 0.077], [0.997, 0.997, 0.255]], "final_energy_ev_per_cell": -62.28, "sg": "C2/m", "total_magnetization_mub_per_cell": 0.000}

=====

| no. | V (Å³/cell) |
| --- | --- |
| 1 | 173.8 |
| 2 | 400.6 |